1.
Entry from the Alexandria database: a relaxed structure of Pr3In3Rh2 (GGA-PBE).

Summary:
DFT formation energy: -599.8 meV per atom
calculated total energy: -84.110 eV for the cell shown
SG: C2/m (12)

a = 16.799 Å, b = 4.731 Å, c = 5.277 Å
α = 90.00°, β = 100.49°, γ = 90.00°
Positions (direct):
Pr 0.000 0.000 0.000
Pr 0.166 0.000 0.589
Pr 0.334 0.500 0.411
Pr 0.500 0.500 0.000
Pr 0.666 0.500 0.589
Pr 0.834 0.000 0.411
In 0.000 0.500 0.500
In 0.136 0.500 0.069
In 0.364 0.000 0.931
In 0.500 0.000 0.500
In 0.636 0.000 0.069
In 0.864 0.500 0.931
Rh 0.217 0.000 0.121
Rh 0.283 0.500 0.879
Rh 0.717 0.500 0.121
Rh 0.783 0.000 0.879

---

2.
Entry from the Alexandria database: a relaxed structure of LaCo4 (GGA-PBE).

Summary:
DFT formation energy: 1456.9 meV per atom
calculated total energy: -52.133 eV for the cell shown
SG: Im-3m (229)

a = 5.581 Å, b = 5.581 Å, c = 5.581 Å
α = 90.00°, β = 90.00°, γ = 90.00°
Positions (direct):
La 0.000 0.000 0.000
La 0.500 0.500 0.500
Co 0.250 0.250 0.250
Co 0.250 0.250 0.750
Co 0.250 0.750 0.250
Co 0.250 0.750 0.750
Co 0.750 0.250 0.250
Co 0.750 0.250 0.750
Co 0.750 0.750 0.250
Co 0.750 0.750 0.750

---

3.
Entry from the Alexandria database: a relaxed structure of MnSiSN2 (GGA-PBE).

Summary:
calculated total energy: -33.955 eV for the cell shown
SG: P4/mmm (123)

a = 3.430 Å, b = 3.430 Å, c = 5.918 Å
α = 90.00°, β = 90.00°, γ = 90.00°
Positions (direct):
Mn 0.000 0.000 0.000
Si 0.500 0.500 0.500
S 0.500 0.500 0.000
N 0.000 0.500 0.500
N 0.500 0.000 0.500

---

Look up the calculated total energy of the third one. -33.955 eV for the cell shown

---

Which formula does entry 2 have? LaCo4

---

Which value of calculated total energy does entry 3 give? -33.955 eV for the cell shown